The following is a DFT calculation (GGA+U) of a geometry-optimized Ba2MnB6O12 structure.

Unit cell a=7.1336 b=7.1336 c=7.1336 alpha=60.52 beta=60.52 gamma=60.52
Each line ends with the local moment (μB).
Atoms (fractional coordinates):
Ba (0.7918, 0.7918, 0.7918)  0.00
Ba (0.2082, 0.2082, 0.2082)  0.00
Mn (0.0000, 0.0000, 0.0000)  4.67
B (0.6340, 0.2445, 0.3600)  0.01
B (0.2445, 0.3600, 0.6340)  0.01
B (0.3600, 0.6340, 0.2445)  0.01
B (0.6400, 0.3660, 0.7555)  0.01
B (0.3660, 0.7555, 0.6400)  0.01
B (0.7555, 0.6400, 0.3660)  0.01
O (0.4253, 0.5378, 0.8013)  0.00
O (0.4622, 0.1987, 0.5747)  0.00
O (0.1987, 0.5747, 0.4622)  0.00
O (0.8013, 0.4253, 0.5378)  0.00
O (0.5747, 0.4622, 0.1987)  0.00
O (0.5378, 0.8013, 0.4253)  0.00
O (0.6783, 0.1608, 0.9135)  0.01
O (0.9135, 0.6783, 0.1608)  0.01
O (0.1608, 0.9135, 0.6783)  0.01
O (0.3217, 0.8392, 0.0865)  0.01
O (0.0865, 0.3217, 0.8392)  0.01
O (0.8392, 0.0865, 0.3217)  0.01

symmetry: R-3, No. 148
spin magnetization: 5.0 μB per formula unit
E: -7.8347 eV/atom
mass density: 3.7 g cm⁻³